## BeCo (GGA-PBE)

Data for a relaxed BeCo crystal.

Results
Total magnetization, μB per formula unit: 1.1
Calculated formation energy, eV per atom: 0.204
DOS(E_F), states/eV per atom: 0.655

a = 6.8688 Å, b = 6.8688 Å, c = 3.7489 Å
α = 90.00°, β = 90.00°, γ = 120.00°
With the nearest neighbours (Å) after each atom.
Positions (direct):
Be: 0.2176 0.4353 0.2500  6 Co 2.27-2.32, 2 Be 2.38
Be: 0.2176 0.7824 0.2500  6 Co 2.27-2.32, 2 Be 2.38
Be: 0.4353 0.2176 0.7500  6 Co 2.27-2.32, 2 Be 2.38
Be: 0.5647 0.7824 0.2500  6 Co 2.27-2.32, 2 Be 2.38
Be: 0.7824 0.2176 0.7500  6 Co 2.27-2.32, 2 Be 2.38
Be: 0.7824 0.5647 0.7500  6 Co 2.27-2.32, 2 Be 2.38
Co: 0.1077 0.5539 0.7500  4 Co 2.27-2.32, 6 Be 2.27-2.32
Co: 0.4461 0.5539 0.7500  4 Co 2.27-2.32, 6 Be 2.27-2.32
Co: 0.4461 0.8923 0.7500  4 Co 2.27-2.32, 6 Be 2.27-2.32
Co: 0.5539 0.1077 0.2500  4 Co 2.27-2.32, 6 Be 2.27-2.32
Co: 0.5539 0.4461 0.2500  4 Co 2.27-2.32, 6 Be 2.27-2.32
Co: 0.8923 0.4461 0.2500  4 Co 2.27-2.32, 6 Be 2.27-2.32